(1)
Computed, not measured: an optimized crystal structure of Sr2AcPaSb4 at the GGA-PBE level of DFT.

Properties
E_tot = -40.86 eV per cell
ΔE_f (raw) = -0.926 eV per atom

a b c (Å): 8.101 4.674 8.106
angles (deg): 90.00 109.30 90.00
Fractional positions:
Sr1 0.000 0.000 0.000
Sr2 0.500 0.500 0.000
Ac1 0.000 0.500 0.500
Pa1 0.500 0.000 0.500
Sb1 0.268 0.000 0.733
Sb2 0.278 0.500 0.277
Sb3 0.722 0.500 0.723
Sb4 0.732 0.000 0.267

(2)
Computed, not measured: an optimized crystal structure of LiCaCr4 at the GGA-PBE level of DFT.

Properties
Formation energy = 0.7471 eV per atom
E_tot = -37.93 eV per cell

a b c (Å): 5.039 5.039 5.039
angles (deg): 60.00 60.00 60.00
Fractional positions:
Li1 0.000 0.000 0.000
Ca1 0.750 0.750 0.750
Cr1 0.374 0.374 0.374
Cr2 0.374 0.374 0.878
Cr3 0.374 0.878 0.374
Cr4 0.878 0.374 0.374

(3)
Computed, not measured: an optimized crystal structure of Ca2Mg3Ga4 at the GGA-PBE level of DFT.

Properties
Formation energy = -0.2907 eV per atom
E_tot = -47.02 eV per cell

a b c (Å): 9.173 9.173 7.641
angles (deg): 90.00 90.00 140.92
Fractional positions:
Ca1 0.096 0.904 0.897
Ca2 0.404 0.596 0.397
Ca3 0.596 0.404 0.603
Ca4 0.904 0.096 0.103
Mg1 0.000 0.000 0.500
Mg2 0.011 0.489 0.750
Mg3 0.489 0.011 0.250
Mg4 0.500 0.500 0.000
Mg5 0.511 0.989 0.750
Mg6 0.989 0.511 0.250
Ga1 0.162 0.838 0.509
Ga2 0.177 0.323 0.750
Ga3 0.323 0.177 0.250
Ga4 0.338 0.662 0.009
Ga5 0.662 0.338 0.991
Ga6 0.677 0.823 0.750
Ga7 0.823 0.677 0.250
Ga8 0.838 0.162 0.491

(4)
Computed, not measured: an optimized crystal structure of KTa3Re at the GGA-PBE level of DFT.

Properties
Formation energy = 1.3871 eV per atom
E_tot = -42.17 eV per cell

a b c (Å): 4.993 4.993 4.993
angles (deg): 90.00 90.00 90.00
Fractional positions:
K1 0.000 0.000 0.000
Ta1 0.000 0.500 0.500
Ta2 0.500 0.000 0.500
Ta3 0.500 0.500 0.000
Re1 0.500 0.500 0.500

(5)
Computed, not measured: an optimized crystal structure of MgHg2Pd4 at the GGA-PBE level of DFT.

Properties
Formation energy = -0.2237 eV per atom
E_tot = -24.54 eV per cell

a b c (Å): 5.631 5.631 5.631
angles (deg): 118.04 118.04 93.43
Fractional positions:
Mg1 0.000 0.000 0.000
Hg1 0.000 0.500 0.500
Hg2 0.500 0.000 0.500
Pd1 0.000 0.000 0.500
Pd2 0.000 0.500 0.000
Pd3 0.500 0.000 0.000
Pd4 0.500 0.500 0.500

(6)
Computed, not measured: an optimized crystal structure of Sr2LiY2 at the GGA-PBE level of DFT.

Properties
Formation energy = 0.4358 eV per atom
E_tot = -32.05 eV per cell

a b c (Å): 10.285 10.285 4.022
angles (deg): 90.00 90.00 90.00
Fractional positions:
Sr1 0.181 0.319 0.000
Sr2 0.319 0.819 0.000
Sr3 0.681 0.181 0.000
Sr4 0.819 0.681 0.000
Li1 0.000 0.000 0.500
Li2 0.500 0.500 0.500
Y1 0.112 0.612 0.500
Y2 0.388 0.112 0.500
Y3 0.612 0.888 0.500
Y4 0.888 0.388 0.500

(7)
Computed, not measured: an optimized crystal structure of SmY2AlS6 at the GGA-PBE level of DFT.

Properties
E_tot = -63.50 eV per cell
ΔE_f (raw) = -1.735 eV per atom

a b c (Å): 7.155 7.155 7.155
angles (deg): 56.49 56.49 56.49
Fractional positions:
Sm1 0.000 0.000 0.000
Y1 0.291 0.291 0.291
Y2 0.796 0.796 0.796
Al1 0.493 0.493 0.493
S1 0.124 0.690 0.397
S2 0.233 0.597 0.856
S3 0.397 0.124 0.690
S4 0.597 0.856 0.233
S5 0.690 0.397 0.124
S6 0.856 0.233 0.597

(8)
Computed, not measured: an optimized crystal structure of NdCrSb2 at the GGA-PBE level of DFT.

Properties
E_tot = -24.45 eV per cell
ΔE_f (raw) = -0.454 eV per atom

a b c (Å): 6.970 6.970 6.970
angles (deg): 35.85 35.85 35.85
Fractional positions:
Nd1 0.000 0.000 0.000
Cr1 0.500 0.500 0.500
Sb1 0.233 0.233 0.233
Sb2 0.767 0.767 0.767

Here are the calculated mass density numbers, same order: 6.42 4.68 3.54 10.25 10.90 2.81 3.82 7.03 (g/cm³).